# TeAs2CBr | Alexandria via LeMat-Bulk | PBE | optimized geometry
data_TeAs2CBr
_chemical_formula_sum 'Te1 As2 C1 Br1'
_cell_length_a 4.585
_cell_length_b 4.585
_cell_length_c 4.600
_cell_angle_alpha 90.00
_cell_angle_beta 90.00
_cell_angle_gamma 90.00
_symmetry_space_group_name_H-M 'P 4/m m m'
_symmetry_Int_Tables_number 123
_symmetry_space_group_name_Hall '-P 4 2'
loop_
_atom_site_label
_atom_site_fract_x
_atom_site_fract_y
_atom_site_fract_z
Te1 0.000 0.000 0.000
As1 0.000 0.500 0.500
C1 0.500 0.500 0.500
Br1 0.500 0.500 0.000
# - Total moment: 0.000 Bohr magnetons per cell
# - Raw formation energy: 1.120 eV/atom
# - Distance to the lowest polymorph of the same formula: 0 meV per atom
# - N(E_F): 0.743 states/eV per atom